# 1
Compound: MnZnAs2
Source: the Alexandria database
Functional: PBE-GGA
Structure: relaxed

Cell: 6.5420 6.5420 6.5420 Å, 90.00 90.00 90.00°
Closest atoms and distances in Å follow each position.
Space group F-43m (No. 216)
Inequivalent atoms, fractional coordinates:
Mn 0.0000 0.0000 0.0000 (multiplicity 4)  4 As 2.83, 4 Zn 2.83
Zn 0.2500 0.2500 0.2500 (multiplicity 4)  4 As 2.83, 4 Mn 2.83
As 0.0000 0.0000 0.5000 (multiplicity 4)  4 As 2.83, 4 Zn 2.83
As 0.2500 0.2500 0.7500 (multiplicity 4)  4 As 2.83, 4 Mn 2.83

Summary:
- E_form (kJ/mol of formula units) = 143

=====

# 2
Compound: CaPrPu2Se4
Source: the Alexandria database
Functional: PBE-GGA
Structure: relaxed

Cell: 7.2737 4.1877 7.2789 Å, 90.00 109.40 90.00°
Closest atoms and distances in Å follow each position.
Space group P2/m (No. 10)
Inequivalent atoms, fractional coordinates:
Ca 0.0000 0.0000 0.0000 (multiplicity 1)  6 Se 2.97
Pr 0.0000 0.5000 0.5000 (multiplicity 1)  6 Se 3.00-3.01
Pu 0.5000 0.0000 0.5000 (multiplicity 1)  6 Se 2.97
Pu 0.5000 0.5000 0.0000 (multiplicity 1)  6 Se 2.93-2.94
Se 0.2532 0.5000 0.2474 (multiplicity 2)  3 Pu 2.94-2.97, 2 Ca 2.97, 1 Pr 3.00
Se 0.2569 0.0000 0.7565 (multiplicity 2)  3 Pu 2.93-2.97, 1 Ca 2.97, 2 Pr 3.01

Summary:
- formation energy from raw total energies (kJ per mole of atoms) = -165

=====

# 3
Compound: SrMnSbTe2
Source: the Alexandria database
Functional: PBE-GGA
Structure: relaxed

Cell: 4.9634 4.9634 5.7730 Å, 90.00 90.00 90.00°
Closest atoms and distances in Å follow each position.
Space group P4/mmm (No. 123)
Inequivalent atoms, fractional coordinates:
Sr 0.0000 0.0000 0.0000 (multiplicity 1)  2 Mn 2.89
Mn 0.0000 0.0000 0.5000 (multiplicity 1)  4 Te 2.48
Sb 0.5000 0.5000 0.0000 (multiplicity 1)  4 Sr 3.51, 8 Te 3.81
Te 0.0000 0.5000 0.5000 (multiplicity 2)  2 Mn 2.48

Summary:
- formation energy from raw total energies (kJ per mole of atoms) = 12

=====

# 4
Compound: Mg2AlOs2
Source: the Alexandria database
Functional: PBE-GGA
Structure: relaxed

Cell: 6.3272 6.3272 4.3626 Å, 90.00 90.00 90.00°
Closest atoms and distances in Å follow each position.
Space group P4/mbm (No. 127)
Inequivalent atoms, fractional coordinates:
Mg 0.1671 0.3329 0.0000 (multiplicity 4)  6 Os 2.81-2.90, 1 Mg 2.99
Al 0.0000 0.0000 0.5000 (multiplicity 2)  4 Os 2.47
Os 0.1343 0.6343 0.5000 (multiplicity 4)  1 Os 2.40, 2 Al 2.47

Summary:
- E_form (kJ/mol of formula units) = 19

=====

# 5
Compound: TaBRu3
Source: the Alexandria database
Functional: PBE-GGA
Structure: relaxed

Cell: 2.8533 5.4876 11.9789 Å, 90.00 90.00 90.00°
Closest atoms and distances in Å follow each position.
Space group Amm2 (No. 38)
Inequivalent atoms, fractional coordinates:
Ta 0.0000 0.0000 0.0000 (multiplicity 2)  4 Ru 2.51-2.53
B 0.5000 0.0000 0.6263 (multiplicity 2)  4 Ru 2.11
Ru 0.0000 0.2410 0.1786 (multiplicity 4)  2 B 2.11
Ru 0.5000 0.0000 0.8259 (multiplicity 2)  1 B 2.39, 2 Ta 2.53, 4 Ru 2.68

Summary:
- E_form (kJ/mol of formula units) = 345

=====

# 6
Compound: LiPmDyAu
Source: the Alexandria database
Functional: PBE-GGA
Structure: relaxed

Cell: 7.3168 7.3168 7.3168 Å, 90.00 90.00 90.00°
Closest atoms and distances in Å follow each position.
Space group F-43m (No. 216)
Inequivalent atoms, fractional coordinates:
Li 0.0000 0.0000 0.0000 (multiplicity 4)  4 Dy 3.17, 4 Pm 3.17
Pm 0.2500 0.2500 0.2500 (multiplicity 4)  4 Li 3.17, 4 Au 3.17
Dy 0.2500 0.2500 0.7500 (multiplicity 4)  4 Au 3.17, 4 Li 3.17
Au 0.0000 0.0000 0.5000 (multiplicity 4)  4 Pm 3.17, 4 Dy 3.17

Summary:
- E_form (kJ/mol of formula units) = -143

=====

# 7
Compound: Ce3Bi3N
Source: the Alexandria database
Functional: PBE-GGA
Structure: relaxed

Cell: 13.3676 4.3733 13.8110 Å, 90.00 90.00 90.00°
Closest atoms and distances in Å follow each position.
Space group Pnma (No. 62)
Inequivalent atoms, fractional coordinates:
Ce 0.0078 0.2500 0.1645 (multiplicity 4)  2 N 2.47
Ce 0.0881 0.2500 0.6341 (multiplicity 4)  1 N 2.25
Ce 0.2204 0.2500 0.8751 (multiplicity 4)  1 N 2.31
Bi 0.0857 0.2500 0.3947 (multiplicity 4)  6 Ce 3.22-3.40, 1 Bi 3.56
Bi 0.1327 0.7500 0.0251 (multiplicity 4)  5 Ce 3.22-3.36, 2 Bi 3.59
Bi 0.2460 0.7500 0.6945 (multiplicity 4)  5 Ce 3.15-3.34, 2 N 3.52
N 0.0678 0.2500 0.7959 (multiplicity 4)  4 Ce 2.25-2.47

Summary:
- formation energy from raw total energies (kJ per mole of atoms) = -80

=====

# 8
Compound: ThCoAs2Ru
Source: the Alexandria database
Functional: PBE-GGA
Structure: relaxed

Cell: 4.0131 4.0131 11.0459 Å, 90.00 90.00 90.00°
Closest atoms and distances in Å follow each position.
Space group I-4m2 (No. 119)
Inequivalent atoms, fractional coordinates:
Th 0.0000 0.0000 0.0000 (multiplicity 2)  8 As 3.18, 4 Co 3.41, 4 Ru 3.41
Co 0.0000 0.5000 0.7500 (multiplicity 2)  4 As 2.41
As 0.0000 0.0000 0.3702 (multiplicity 4)  2 Co 2.41, 2 Ru 2.41
Ru 0.0000 0.5000 0.2500 (multiplicity 2)  4 As 2.41

Summary:
- E_form (kJ/mol of formula units) = -321

=====

no.,calculated volume (Å³/cell),DOS(E_F) (states/eV per cell)
1,280.0,10.54
2,209.1,18.16
3,142.2,7.23
4,174.7,11.04
5,187.6,10.44
6,391.7,13.72
7,807.4,36.44
8,177.9,7.55